No. 1
# SrLi2Hg6

SrLi2Hg6 after structural relaxation (PBE, the Alexandria database).

```
SrLi2Hg6
1.0
-3.608 0.485 -4.193
-1.006 -3.573 4.129
-4.922 7.249 5.073
Li Hg Sr
2 6 1
Direct
0.333 0.667 0.500
0.667 0.333 0.500
0.000 0.663 0.279
0.337 0.000 0.721
0.337 0.337 0.279
0.663 0.663 0.721
0.663 0.000 0.279
0.000 0.337 0.721
0.000 0.000 0.000
```

The density of states at the Fermi level comes out at 0.305 states/eV/atom. The density comes out at 8.02 g cm⁻³. As for the excess energy over the best structure of this formula in the dataset: 112 meV per atom. The energy of formation from the pure elements is -0.153 eV/atom. Its space-group type is P-31m, No. 162. The calculated volume is 30.04 Å³/atom.

---

No. 2
# Sr2LiHg

Sr2LiHg after structural relaxation (PBE, the Alexandria database).

```
Sr2LiHg
1.0
-5.483 0.934 0.224
-3.572 -4.210 -0.706
-2.970 -1.883 4.315
Sr Li Hg
2 1 1
Direct
0.000 0.000 0.000
0.250 0.250 0.250
0.750 0.750 0.750
0.500 0.500 0.500
```

The density of states at the Fermi level comes out at 0.927 states/eV/atom. The density comes out at 5.21 g cm⁻³. The energy of formation from the pure elements is -0.091 eV/atom. Its space-group type is F-43m, No. 216. The calculated volume is 30.49 Å³/atom.

---

Question: Number 2 is which compound?
Answer: Sr2LiHg

---

Question: calculated volume of number 2 (Sr2LiHg)?
Answer: 30.49 Å³/atom

---

Please write out number 1 again, unchanged.
# SrLi2Hg6

SrLi2Hg6 after structural relaxation (PBE, the Alexandria database).

```
SrLi2Hg6
1.0
-3.608 0.485 -4.193
-1.006 -3.573 4.129
-4.922 7.249 5.073
Li Hg Sr
2 6 1
Direct
0.333 0.667 0.500
0.667 0.333 0.500
0.000 0.663 0.279
0.337 0.000 0.721
0.337 0.337 0.279
0.663 0.663 0.721
0.663 0.000 0.279
0.000 0.337 0.721
0.000 0.000 0.000
```

The density of states at the Fermi level comes out at 0.305 states/eV/atom. The density comes out at 8.02 g cm⁻³. As for the excess energy over the best structure of this formula in the dataset: 112 meV per atom. The energy of formation from the pure elements is -0.153 eV/atom. Its space-group type is P-31m, No. 162. The calculated volume is 30.04 Å³/atom.

---

Question: density of number 2 (Sr2LiHg)?
Answer: 5.21 g cm⁻³